An optimized crystal structure of PmGdZnSi. Source: Alexandria via LeMat-Bulk, functional GGA-PBE.

Geometry as POSCAR:
```
PmGdZnSi
1.0
5.0710 0.0000 0.0000
2.5355 4.3916 0.0000
2.5355 1.4639 4.1404
Gd Pm Zn Si
1 1 1 1
Cartesian
5.0710 2.9277 2.0702 Gd
0.0000 0.0000 0.0000 Pm
2.5355 1.4639 1.0351 Zn
7.6065 4.3916 3.1053 Si
```

Properties
The value obtained for the formation energy without anion corrections is -0.451 eV per atom. The energy comes out at -6.833 eV per atom. As for the density of states at the Fermi level: 2.7 states/eV/cell.

***

An optimized crystal structure of PmSmGd4. Source: Alexandria via LeMat-Bulk, functional GGA-PBE.

Geometry as POSCAR:
```
PmSmGd4
1.0
6.6299 0.0000 0.0000
3.3149 5.7417 0.0000
3.3149 1.9139 5.4133
Gd Pm Sm
4 1 1
Cartesian
4.9712 4.7854 3.3838 Gd
8.2886 4.7854 3.3838 Gd
6.6299 1.9124 3.3838 Gd
6.6299 3.8278 0.6751 Gd
3.3149 1.9139 1.3533 Pm
0.0000 0.0000 0.0000 Sm
```

Properties
The energy comes out at -10.705 eV per atom. As for the density of states at the Fermi level: 13.9 states/eV/cell. The calculated formation energy comes out at 0.260 eV/atom.

***

An optimized crystal structure of PmSmGd2. Source: Alexandria via LeMat-Bulk, functional GGA-PBE.

Geometry as POSCAR:
```
PmSmGd2
1.0
5.0993 0.0000 0.0000
0.0000 5.1037 0.0000
0.0000 0.0000 5.1037
Gd Pm Sm
2 1 1
Cartesian
0.0000 0.0000 2.5519 Gd
0.0000 2.5519 0.0000 Gd
2.5497 2.5519 2.5519 Pm
2.5497 0.0000 0.0000 Sm
```

Properties
The energy comes out at -9.389 eV per atom. As for the density of states at the Fermi level: 7.2 states/eV/cell. The calculated formation energy comes out at 0.018 eV/atom.

***

An optimized crystal structure of PmSm2Gd. Source: Alexandria via LeMat-Bulk, functional GGA-PBE.

Geometry as POSCAR:
```
PmSm2Gd
1.0
-2.9950 -0.2417 1.8593
-1.3250 -3.1737 0.8107
5.2048 -1.1799 11.5880
Gd Sm Pm
1 2 1
Cartesian
0.4424 -2.2976 7.1290 Gd
-2.5320 -3.4265 5.5485 Sm
3.4168 -1.1687 8.7095 Sm
0.0000 0.0000 0.0000 Pm
```

Properties
The energy comes out at -6.901 eV per atom. As for the density of states at the Fermi level: 7.8 states/eV/cell. The calculated formation energy comes out at 0.166 eV/atom.

***

An optimized crystal structure of PmSmGd2. Source: Alexandria via LeMat-Bulk, functional GGA-PBE.

Geometry as POSCAR:
```
PmSmGd2
1.0
-0.0691 -4.6620 3.3405
-1.5485 -5.0717 -2.1859
3.9208 -4.1197 -0.7442
Gd Sm Pm
2 1 1
Cartesian
1.7274 -10.3900 0.3078 Gd
0.5758 -3.4633 0.1026 Gd
1.1516 -6.9267 0.2052 Sm
0.0000 0.0000 0.0000 Pm
```

Properties
The energy comes out at -9.316 eV per atom. As for the density of states at the Fermi level: 6.6 states/eV/cell. The calculated formation energy comes out at 0.092 eV/atom.

***

An optimized crystal structure of PmSm2Gd. Source: Alexandria via LeMat-Bulk, functional GGA-PBE.

Geometry as POSCAR:
```
PmSm2Gd
1.0
-0.0905 -3.1492 -4.0442
5.1187 -0.0686 -0.0611
-0.0166 -4.0391 3.1456
Gd Sm Pm
1 2 1
Cartesian
-0.0453 -1.5746 -2.0221 Gd
2.5593 -0.0343 -0.0306 Sm
-0.0083 -2.0195 1.5728 Sm
2.5058 -3.6285 -0.4799 Pm
```

Properties
The energy comes out at -7.055 eV per atom. As for the density of states at the Fermi level: 6.5 states/eV/cell. The calculated formation energy comes out at 0.012 eV/atom.

***

An optimized crystal structure of Pm2SmGd. Source: Alexandria via LeMat-Bulk, functional GGA-PBE.

Geometry as POSCAR:
```
Pm2SmGd
1.0
3.6349 0.0000 0.0000
0.0000 3.6349 0.0000
0.0000 0.0000 10.2391
Gd Pm Sm
1 2 1
Cartesian
1.8175 1.8175 0.0000 Gd
0.0000 0.0000 2.5532 Pm
0.0000 0.0000 7.6859 Pm
1.8175 1.8175 5.1196 Sm
```

Properties
The energy comes out at -7.059 eV per atom. As for the density of states at the Fermi level: 6.4 states/eV/cell. The calculated formation energy comes out at 0.016 eV/atom.

***

An optimized crystal structure of PmSmGd. Source: Alexandria via LeMat-Bulk, functional GGA-PBE.

Geometry as POSCAR:
```
PmSmGd
1.0
3.6265 0.0000 0.0000
-1.8133 3.1406 0.0000
0.0000 0.0000 8.8437
Sm Pm Gd
1 1 1
Cartesian
0.0000 0.0000 8.8351 Sm
1.8133 1.0469 2.9515 Pm
0.0000 2.0938 5.9007 Gd
```

Properties
The energy comes out at -7.834 eV per atom. As for the density of states at the Fermi level: 4.6 states/eV/cell. The calculated formation energy comes out at 0.017 eV/atom.

***

An optimized crystal structure of PmSm2Gd. Source: Alexandria via LeMat-Bulk, functional GGA-PBE.

Geometry as POSCAR:
```
PmSm2Gd
1.0
3.6298 0.0000 0.0000
0.0000 3.6298 0.0000
0.0000 0.0000 10.2208
Pm Sm Gd
1 2 1
Cartesian
1.8149 1.8149 5.1104 Pm
0.0000 0.0000 2.5409 Sm
0.0000 0.0000 7.6799 Sm
1.8149 1.8149 0.0000 Gd
```

Properties
The energy comes out at -7.050 eV per atom. As for the density of states at the Fermi level: 6.2 states/eV/cell. The calculated formation energy comes out at 0.018 eV/atom.

***

An optimized crystal structure of Pm4SmGd. Source: Alexandria via LeMat-Bulk, functional GGA-PBE.

Geometry as POSCAR:
```
Pm4SmGd
1.0
6.6971 0.0000 0.0000
3.3486 5.7999 0.0000
3.3486 1.9333 5.4682
Pm Gd Sm
4 1 1
Cartesian
5.0274 4.8306 3.4157 Pm
6.6971 1.9386 3.4157 Pm
8.3668 4.8306 3.4157 Pm
6.6971 3.8666 0.6891 Pm
0.0000 0.0000 0.0000 Gd
3.3486 1.9333 1.3670 Sm
```

Properties
The energy comes out at -6.055 eV per atom. As for the density of states at the Fermi level: 12.2 states/eV/cell. The calculated formation energy comes out at 0.245 eV/atom.

***

An optimized crystal structure of Pm2SmGd. Source: Alexandria via LeMat-Bulk, functional GGA-PBE.

Geometry as POSCAR:
```
Pm2SmGd
1.0
-3.5480 -4.4978 -0.7213
1.3304 -5.1249 2.3031
-3.0343 -2.0300 4.4734
Gd Pm Sm
1 2 1
Cartesian
0.0000 0.0000 0.0000 Gd
-1.3130 -2.9132 1.5138 Pm
-3.9389 -8.7395 4.5414 Pm
-2.6259 -5.8264 3.0276 Sm
```

Properties
The energy comes out at -6.956 eV per atom. As for the density of states at the Fermi level: 7.4 states/eV/cell. The calculated formation energy comes out at 0.119 eV/atom.

***

An optimized crystal structure of Pm2SmGd. Source: Alexandria via LeMat-Bulk, functional GGA-PBE.

Geometry as POSCAR:
```
Pm2SmGd
1.0
-2.2018 -1.5177 -4.3777
0.7996 -4.8990 1.2962
-4.5642 -0.1261 2.3393
Pm Sm Gd
2 1 1
Cartesian
0.3998 -2.4495 0.6481 Pm
-2.2821 -0.0630 1.1697 Pm
-1.1009 -0.7588 -2.1889 Sm
-2.9832 -3.2714 -0.3711 Gd
```

Properties
The energy comes out at -7.064 eV per atom. As for the density of states at the Fermi level: 6.5 states/eV/cell. The calculated formation energy comes out at 0.012 eV/atom.